No. 1
Entry from Alexandria via LeMat-Bulk: LiAcZnCd after structural relaxation (PBE).

Results
E in eV/atom: -2.25
ΔH_f (0 K) in eV/atom: -0.2015

Unit cell a=7.2769 b=7.2769 c=7.2769 alpha=90.00 beta=90.00 gamma=90.00
With the nearest neighbours (Å) after each atom.
Space group F-43m (No. 216)
One atom of each set of equivalent atoms:
Li 0.0000 0.0000 0.0000 (multiplicity 4)  4 Ac 3.15, 4 Cd 3.15
Ac 0.2500 0.2500 0.7500 (multiplicity 4)  4 Li 3.15, 4 Zn 3.15
Zn 0.0000 0.0000 0.5000 (multiplicity 4)  4 Cd 3.15, 4 Ac 3.15
Cd 0.2500 0.2500 0.2500 (multiplicity 4)  4 Li 3.15, 4 Zn 3.15

---

No. 2
Entry from Alexandria via LeMat-Bulk: AcLuCd2 after structural relaxation (PBE).

Results
Polymorph energy (0 for the lowest one) in kJ/mol of formula units: 0
E in eV/atom: -2.89
ΔH_f (0 K) in eV/atom: -0.2727

Unit cell a=3.7972 b=3.7972 c=8.0493 alpha=90.00 beta=90.00 gamma=90.00
With the nearest neighbours (Å) after each atom.
Space group P4/mmm (No. 123)
One atom of each set of equivalent atoms:
Ac 0.0000 0.0000 0.0000 (multiplicity 1)  8 Cd 3.56, 4 Ac 3.80
Lu 0.0000 0.0000 0.5000 (multiplicity 1)  8 Cd 3.17
Cd 0.5000 0.5000 0.2896 (multiplicity 2)  4 Lu 3.17, 1 Cd 3.39

---

No. 3
Entry from Alexandria via LeMat-Bulk: AcLu2Cd after structural relaxation (PBE).

Results
Polymorph energy (0 for the lowest one) in kJ/mol of formula units: 36
E in eV/atom: -3.52
ΔH_f (0 K) in eV/atom: -0.0008

Unit cell a=4.9301 b=4.9301 c=5.0903 alpha=90.00 beta=90.00 gamma=90.00
With the nearest neighbours (Å) after each atom.
Space group P4/mmm (No. 123)
One atom of each set of equivalent atoms:
Ac 0.0000 0.0000 0.0000 (multiplicity 1)  4 Cd 3.49, 8 Lu 3.54
Lu 0.0000 0.5000 0.5000 (multiplicity 2)  4 Lu 3.49, 4 Cd 3.54, 4 Ac 3.54
Cd 0.5000 0.5000 0.0000 (multiplicity 1)  4 Ac 3.49, 8 Lu 3.54

---

No. 4
Entry from Alexandria via LeMat-Bulk: Ac2LuCd after structural relaxation (PBE).

Results
Polymorph energy (0 for the lowest one) in kJ/mol of formula units: 117
E in eV/atom: -3.20
ΔH_f (0 K) in eV/atom: 0.2139

Unit cell a=3.7503 b=3.7503 c=38.4406 alpha=90.00 beta=90.00 gamma=120.00
With the nearest neighbours (Å) after each atom.
Space group R-3m (No. 166, hexagonal axes)
One atom of each set of equivalent atoms:
Ac 0.0000 0.0000 0.0905 (multiplicity 6)  1 Cd 3.48, 3 Lu 3.64, 6 Ac 3.75
Lu 0.0000 0.0000 0.5000 (multiplicity 3)  6 Ac 3.64, 6 Lu 3.75
Cd 0.0000 0.0000 0.0000 (multiplicity 3)  2 Ac 3.48, 6 Cd 3.75

---

No. 5
Entry from Alexandria via LeMat-Bulk: Ac2LuCd after structural relaxation (PBE).

Results
Polymorph energy (0 for the lowest one) in kJ/mol of formula units: 0
E in eV/atom: -3.50
ΔH_f (0 K) in eV/atom: -0.0887

Unit cell a=4.0273 b=4.0273 c=8.8187 alpha=90.00 beta=90.00 gamma=90.00
With the nearest neighbours (Å) after each atom.
Space group P4/mmm (No. 123)
One atom of each set of equivalent atoms:
Ac 0.0000 0.0000 0.2344 (multiplicity 2)  4 Cd 3.52, 4 Lu 3.69
Lu 0.5000 0.5000 0.5000 (multiplicity 1)  8 Ac 3.69, 4 Lu 4.03
Cd 0.5000 0.5000 0.0000 (multiplicity 1)  8 Ac 3.52

---

No. 6
Entry from Alexandria via LeMat-Bulk: Ac2LuCd after structural relaxation (PBE).

Results
Polymorph energy (0 for the lowest one) in kJ/mol of formula units: 4
E in eV/atom: -3.49
ΔH_f (0 K) in eV/atom: -0.0773

Unit cell a=5.9565 b=5.9565 c=3.9511 alpha=90.00 beta=90.00 gamma=90.00
With the nearest neighbours (Å) after each atom.
Space group P4/mmm (No. 123)
One atom of each set of equivalent atoms:
Ac 0.0000 0.5000 0.0000 (multiplicity 2)  4 Cd 3.57, 4 Lu 3.57, 2 Ac 3.95
Lu 0.0000 0.0000 0.5000 (multiplicity 1)  8 Ac 3.57, 2 Lu 3.95
Cd 0.5000 0.5000 0.5000 (multiplicity 1)  8 Ac 3.57, 2 Cd 3.95

---

No. 7
Entry from Alexandria via LeMat-Bulk: AcLu2Cd after structural relaxation (PBE).

Results
Polymorph energy (0 for the lowest one) in kJ/mol of formula units: 0
E in eV/atom: -3.61
ΔH_f (0 K) in eV/atom: -0.0948

Unit cell a=3.6905 b=3.6905 c=9.0717 alpha=90.00 beta=90.00 gamma=90.00
With the nearest neighbours (Å) after each atom.
Space group P4/mmm (No. 123)
One atom of each set of equivalent atoms:
Ac 0.0000 0.0000 0.0000 (multiplicity 1)  4 Ac 3.69, 8 Lu 3.74
Lu 0.5000 0.5000 0.2961 (multiplicity 2)  4 Cd 3.20
Cd 0.0000 0.0000 0.5000 (multiplicity 1)  8 Lu 3.20

---

No. 8
Entry from Alexandria via LeMat-Bulk: AcLu2Cd after structural relaxation (PBE).

Results
Polymorph energy (0 for the lowest one) in kJ/mol of formula units: 93
E in eV/atom: -3.37
ΔH_f (0 K) in eV/atom: 0.1466

Unit cell a=7.8643 b=7.8643 c=7.8643 alpha=90.00 beta=90.00 gamma=90.00
With the nearest neighbours (Å) after each atom.
Space group Fm-3m (No. 225)
One atom of each set of equivalent atoms:
Ac 0.0000 0.0000 0.0000 (multiplicity 4)  8 Lu 3.41
Lu 0.2500 0.2500 0.2500 (multiplicity 8)  4 Ac 3.41, 4 Cd 3.41
Cd 0.0000 0.0000 0.5000 (multiplicity 4)  8 Lu 3.41

---

No. 9
Entry from Alexandria via LeMat-Bulk: AcLuCd after structural relaxation (PBE).

Results
Polymorph energy (0 for the lowest one) in kJ/mol of formula units: 0
E in eV/atom: -3.32
ΔH_f (0 K) in eV/atom: -0.1417

Unit cell a=3.8246 b=3.8246 c=13.0873 alpha=90.00 beta=90.00 gamma=90.00
With the nearest neighbours (Å) after each atom.
Space group I4mm (No. 107)
One atom of each set of equivalent atoms:
Ac 0.0000 0.0000 0.0000 (multiplicity 2)  4 Cd 3.59, 5 Lu 3.73-3.97, 4 Ac 3.82
Lu 0.0000 0.0000 0.3037 (multiplicity 2)  4 Cd 3.15
Cd 0.0000 0.0000 0.6808 (multiplicity 2)  4 Lu 3.15

---

No. 10
Entry from Alexandria via LeMat-Bulk: AcLuCd2 after structural relaxation (PBE).

Results
Polymorph energy (0 for the lowest one) in kJ/mol of formula units: 12
E in eV/atom: -2.86
ΔH_f (0 K) in eV/atom: -0.2405

Unit cell a=7.8018 b=7.8018 c=7.8018 alpha=90.00 beta=90.00 gamma=90.00
With the nearest neighbours (Å) after each atom.
Space group Fm-3m (No. 225)
One atom of each set of equivalent atoms:
Ac 0.0000 0.0000 0.0000 (multiplicity 4)  8 Cd 3.38
Lu 0.0000 0.0000 0.5000 (multiplicity 4)  8 Cd 3.38
Cd 0.2500 0.2500 0.2500 (multiplicity 8)  4 Ac 3.38, 4 Lu 3.38

---

No. 11
Entry from Alexandria via LeMat-Bulk: AcLu2Cd after structural relaxation (PBE).

Results
Polymorph energy (0 for the lowest one) in kJ/mol of formula units: 99
E in eV/atom: -3.35
ΔH_f (0 K) in eV/atom: 0.1619

Unit cell a=3.5458 b=3.5458 c=35.6177 alpha=90.00 beta=90.00 gamma=120.00
With the nearest neighbours (Å) after each atom.
Space group R-3m (No. 166, hexagonal axes)
One atom of each set of equivalent atoms:
Ac 0.0000 0.0000 0.0000 (multiplicity 3)  2 Lu 3.52, 6 Ac 3.55
Lu 0.0000 0.0000 0.0990 (multiplicity 6)  3 Cd 3.16, 1 Ac 3.52
Cd 0.0000 0.0000 0.5000 (multiplicity 3)  6 Lu 3.16

---

No. 12
Entry from Alexandria via LeMat-Bulk: AcLuCd after structural relaxation (PBE).

Results
Polymorph energy (0 for the lowest one) in kJ/mol of formula units: 22
E in eV/atom: -3.25
ΔH_f (0 K) in eV/atom: -0.0665

Unit cell a=5.3518 b=5.3518 c=3.9538 alpha=90.00 beta=90.00 gamma=120.00
With the nearest neighbours (Å) after each atom.
Space group P-6m2 (No. 187)
One atom of each set of equivalent atoms:
Ac 0.0000 0.0000 0.0000 (multiplicity 1)  6 Lu 3.67, 6 Cd 3.67, 2 Ac 3.95
Lu 0.3333 0.6667 0.5000 (multiplicity 1)  3 Cd 3.09
Cd 0.6667 0.3333 0.5000 (multiplicity 1)  3 Lu 3.09

---

No. 13
Entry from Alexandria via LeMat-Bulk: AcNdLuCd after structural relaxation (PBE).

Results
E in eV/atom: -3.61
ΔH_f (0 K) in eV/atom: -0.0319

Unit cell a=8.0345 b=8.0345 c=8.0345 alpha=90.00 beta=90.00 gamma=90.00
With the nearest neighbours (Å) after each atom.
Space group F-43m (No. 216)
One atom of each set of equivalent atoms:
Ac 0.0000 0.0000 0.0000 (multiplicity 4)  4 Cd 3.48, 4 Lu 3.48
Nd 0.0000 0.0000 0.5000 (multiplicity 4)  4 Cd 3.48, 4 Lu 3.48
Lu 0.2500 0.2500 0.7500 (multiplicity 4)  4 Ac 3.48, 4 Nd 3.48
Cd 0.2500 0.2500 0.2500 (multiplicity 4)  4 Ac 3.48, 4 Nd 3.48

---

No. 14
Entry from Alexandria via LeMat-Bulk: AcLuCdPb after structural relaxation (PBE).

Results
E in eV/atom: -3.61
ΔH_f (0 K) in eV/atom: -0.2993

Unit cell a=7.8657 b=7.8657 c=7.8657 alpha=90.00 beta=90.00 gamma=90.00
With the nearest neighbours (Å) after each atom.
Space group F-43m (No. 216)
One atom of each set of equivalent atoms:
Ac 0.0000 0.0000 0.0000 (multiplicity 4)  4 Cd 3.41, 4 Pb 3.41
Lu 0.0000 0.0000 0.5000 (multiplicity 4)  4 Cd 3.41, 4 Pb 3.41
Cd 0.2500 0.2500 0.2500 (multiplicity 4)  4 Ac 3.41, 4 Lu 3.41
Pb 0.2500 0.2500 0.7500 (multiplicity 4)  4 Ac 3.41, 4 Lu 3.41

---

No. 15
Entry from Alexandria via LeMat-Bulk: AcLuCdPd after structural relaxation (PBE).

Results
E in eV/atom: -4.12
ΔH_f (0 K) in eV/atom: -0.4337

Unit cell a=7.5343 b=7.5343 c=7.5343 alpha=90.00 beta=90.00 gamma=90.00
With the nearest neighbours (Å) after each atom.
Space group F-43m (No. 216)
One atom of each set of equivalent atoms:
Ac 0.0000 0.0000 0.0000 (multiplicity 4)  4 Cd 3.26, 4 Pd 3.26
Lu 0.0000 0.0000 0.5000 (multiplicity 4)  4 Cd 3.26, 4 Pd 3.26
Cd 0.2500 0.2500 0.2500 (multiplicity 4)  4 Ac 3.26, 4 Lu 3.26
Pd 0.2500 0.2500 0.7500 (multiplicity 4)  4 Ac 3.26, 4 Lu 3.26

---

No. 16
Entry from Alexandria via LeMat-Bulk: AcPmLuCd after structural relaxation (PBE).

Results
E in eV/atom: -3.60
ΔH_f (0 K) in eV/atom: -0.0281

Unit cell a=8.0171 b=8.0171 c=8.0171 alpha=90.00 beta=90.00 gamma=90.00
With the nearest neighbours (Å) after each atom.
Space group F-43m (No. 216)
One atom of each set of equivalent atoms:
Ac 0.0000 0.0000 0.0000 (multiplicity 4)  4 Lu 3.47, 4 Cd 3.47
Pm 0.0000 0.0000 0.5000 (multiplicity 4)  4 Cd 3.47, 4 Lu 3.47
Lu 0.2500 0.2500 0.2500 (multiplicity 4)  4 Pm 3.47, 4 Ac 3.47
Cd 0.2500 0.2500 0.7500 (multiplicity 4)  4 Ac 3.47, 4 Pm 3.47

---

No. 17
Entry from Alexandria via LeMat-Bulk: AcPrLuCd after structural relaxation (PBE).

Results
E in eV/atom: -3.62
ΔH_f (0 K) in eV/atom: -0.0358

Unit cell a=8.0559 b=8.0559 c=8.0559 alpha=90.00 beta=90.00 gamma=90.00
With the nearest neighbours (Å) after each atom.
Space group F-43m (No. 216)
One atom of each set of equivalent atoms:
Ac 0.0000 0.0000 0.0000 (multiplicity 4)  4 Cd 3.49, 4 Lu 3.49
Pr 0.0000 0.0000 0.5000 (multiplicity 4)  4 Cd 3.49, 4 Lu 3.49
Lu 0.2500 0.2500 0.7500 (multiplicity 4)  4 Ac 3.49, 4 Pr 3.49
Cd 0.2500 0.2500 0.2500 (multiplicity 4)  4 Ac 3.49, 4 Pr 3.49

---

No. 18
Entry from Alexandria via LeMat-Bulk: AcLuCdPt after structural relaxation (PBE).

Results
E in eV/atom: -4.48
ΔH_f (0 K) in eV/atom: -0.5826

Unit cell a=7.4876 b=7.4876 c=7.4876 alpha=90.00 beta=90.00 gamma=90.00
With the nearest neighbours (Å) after each atom.
Space group F-43m (No. 216)
One atom of each set of equivalent atoms:
Ac 0.0000 0.0000 0.0000 (multiplicity 4)  4 Cd 3.24, 4 Pt 3.24
Lu 0.0000 0.0000 0.5000 (multiplicity 4)  4 Cd 3.24, 4 Pt 3.24
Cd 0.2500 0.2500 0.2500 (multiplicity 4)  4 Ac 3.24, 4 Lu 3.24
Pt 0.2500 0.2500 0.7500 (multiplicity 4)  4 Ac 3.24, 4 Lu 3.24

---

No. 19
Entry from Alexandria via LeMat-Bulk: AcLuCdRu after structural relaxation (PBE).

Results
E in eV/atom: -4.81
ΔH_f (0 K) in eV/atom: -0.1028

Unit cell a=7.3823 b=7.3823 c=7.3823 alpha=90.00 beta=90.00 gamma=90.00
With the nearest neighbours (Å) after each atom.
Space group F-43m (No. 216)
One atom of each set of equivalent atoms:
Ac 0.0000 0.0000 0.0000 (multiplicity 4)  4 Cd 3.20, 4 Ru 3.20
Lu 0.0000 0.0000 0.5000 (multiplicity 4)  4 Ru 3.20, 4 Cd 3.20
Cd 0.2500 0.2500 0.7500 (multiplicity 4)  4 Ac 3.20, 4 Lu 3.20
Ru 0.2500 0.2500 0.2500 (multiplicity 4)  4 Ac 3.20, 4 Lu 3.20

---

No. 20
Entry from Alexandria via LeMat-Bulk: AcLuCdSb after structural relaxation (PBE).

Results
E in eV/atom: -3.87
Formation energy (no corrections) in kJ/mol of formula units: -175.5

Unit cell a=7.8156 b=7.8156 c=7.8156 alpha=90.00 beta=90.00 gamma=90.00
With the nearest neighbours (Å) after each atom.
Space group F-43m (No. 216)
One atom of each set of equivalent atoms:
Ac 0.0000 0.0000 0.0000 (multiplicity 4)  4 Cd 3.38, 4 Sb 3.38
Lu 0.0000 0.0000 0.5000 (multiplicity 4)  4 Cd 3.38, 4 Sb 3.38
Cd 0.2500 0.2500 0.2500 (multiplicity 4)  4 Ac 3.38, 4 Lu 3.38
Sb 0.2500 0.2500 0.7500 (multiplicity 4)  4 Ac 3.38, 4 Lu 3.38